Computed, not measured: crystalline TcSnHF at its relaxed geometry at the GGA-PBE level of DFT.

- Offset from the most stable computed form: 54 meV per atom
- Density: 5.96 g/cm³
- E: -5.249 eV per atom
- Space group: Pmm2 (25)

Cell: 2.864 3.500 6.582 Å, 90.00 90.00 90.00°
Fractional positions:
Tc  0.500  0.500  0.974
Sn  0.000  0.000  0.744
F  0.500  0.000  0.494
H  0.000  0.500  0.147

=====

Computed, not measured: crystalline AcY3Co at its relaxed geometry at the GGA-PBE level of DFT.

- Density: 5.84 g/cm³
- E: -6.168 eV per atom
- Space group: Pm-3m (221)

Cell: 5.396 5.396 5.396 Å, 90.00 90.00 90.00°
Fractional positions:
Ac  0.500  0.500  0.500
Y  0.500  0.000  0.000
Y  0.000  0.500  0.000
Y  0.000  0.000  0.500
Co  0.000  0.000  0.000

=====

Computed, not measured: crystalline YCd2 at its relaxed geometry at the GGA-PBE level of DFT.

- Density: 5.43 g/cm³
- E: -2.433 eV per atom
- Space group: Pa-3 (205)

Cell: 7.268 7.268 7.268 Å, 90.00 90.00 90.00°
Fractional positions:
Cd  0.113  0.887  0.387
Cd  0.887  0.387  0.113
Cd  0.387  0.113  0.887
Cd  0.613  0.613  0.613
Cd  0.613  0.887  0.113
Cd  0.887  0.113  0.613
Cd  0.113  0.613  0.887
Cd  0.387  0.387  0.387
Y  0.500  0.500  0.000
Y  0.000  0.000  0.000
Y  0.000  0.500  0.500
Y  0.500  0.000  0.500

=====

Look up the density of the second one. 5.84 g/cm³